Density functional theory data (PBE) for SrPb after structural relaxation.

Results
Its space-group type is C2/m, No. 12. The magnetic moment is 0.000 μB per formula unit.

a = 13.2494 Å, b = 3.8362 Å, c = 5.9149 Å
α = 90.00°, β = 108.71°, γ = 90.00°
With the nearest neighbours (Å) after each atom.
Fractional positions:
Sr 0.1097 0.0000 0.2983  7 Pb 3.52-3.73, 3 Sr 3.78-3.84
Sr 0.3903 0.5000 0.7017  7 Pb 3.52-3.73, 3 Sr 3.78-3.84
Sr 0.6097 0.5000 0.2983  7 Pb 3.52-3.73, 3 Sr 3.78-3.84
Sr 0.8903 0.0000 0.7017  7 Pb 3.52-3.73, 3 Sr 3.78-3.84
Pb 0.1436 0.5000 0.8158  7 Sr 3.52-3.73, 4 Pb 3.53-3.84
Pb 0.3564 0.0000 0.1842  7 Sr 3.52-3.73, 4 Pb 3.53-3.84
Pb 0.6436 0.0000 0.8158  7 Sr 3.52-3.73, 4 Pb 3.53-3.84
Pb 0.8564 0.5000 0.1842  7 Sr 3.52-3.73, 4 Pb 3.53-3.84



Density functional theory data (PBE) for Ba4AcGe4 after structural relaxation.

Results
Its space-group type is P4_2/n, No. 86. The magnetic moment is 0.000 μB per formula unit.

a = 9.9609 Å, b = 9.9609 Å, c = 7.0031 Å
α = 90.00°, β = 90.00°, γ = 90.00°
With the nearest neighbours (Å) after each atom.
Fractional positions:
Ba 0.0472 0.6744 0.1161  3 Ge 3.33-3.58
Ba 0.1744 0.9528 0.6161  3 Ge 3.33-3.58
Ba 0.3256 0.5472 0.6161  3 Ge 3.33-3.58
Ba 0.4528 0.8256 0.1161  3 Ge 3.33-3.58
Ba 0.5472 0.1744 0.8839  3 Ge 3.33-3.58
Ba 0.6744 0.4528 0.3839  3 Ge 3.33-3.58
Ba 0.8256 0.0472 0.3839  3 Ge 3.33-3.58
Ba 0.9528 0.3256 0.8839  3 Ge 3.33-3.58
Ac 0.2500 0.2500 0.2500  4 Ge 3.06
Ac 0.7500 0.7500 0.7500  4 Ge 3.06
Ge 0.0009 0.3863 0.4157  1 Ge 2.55
Ge 0.1137 0.0009 0.0843  1 Ge 2.55
Ge 0.3863 0.4991 0.0843  1 Ge 2.55
Ge 0.4991 0.1137 0.4157  1 Ge 2.55
Ge 0.5009 0.8863 0.5843  1 Ge 2.55
Ge 0.6137 0.5009 0.9157  1 Ge 2.55
Ge 0.8863 0.9991 0.9157  1 Ge 2.55
Ge 0.9991 0.6137 0.5843  1 Ge 2.55



Density functional theory data (PBE) for Ti2CuPt9 after structural relaxation.

Results
Its space-group type is P4/mmm, No. 123. The magnetic moment is 0.000 μB per formula unit.

a = 3.9372 Å, b = 3.9372 Å, c = 11.7828 Å
α = 90.00°, β = 90.00°, γ = 90.00°
With the nearest neighbours (Å) after each atom.
Fractional positions:
Ti 0.0000 0.0000 0.1743  12 Pt 2.71-2.84
Ti 0.0000 0.0000 0.8257  12 Pt 2.71-2.84
Cu 0.0000 0.0000 0.5000  12 Pt 2.78-2.79
Pt 0.0000 0.5000 0.0000  8 Pt 2.78, 4 Ti 2.84
Pt 0.0000 0.5000 0.3320  2 Ti 2.71, 8 Pt 2.78-2.79, 2 Cu 2.79
Pt 0.0000 0.5000 0.6680  2 Ti 2.71, 8 Pt 2.78-2.79, 2 Cu 2.79
Pt 0.5000 0.0000 0.0000  8 Pt 2.78, 4 Ti 2.84
Pt 0.5000 0.0000 0.3320  2 Ti 2.71, 8 Pt 2.78-2.79, 2 Cu 2.79
Pt 0.5000 0.0000 0.6680  2 Ti 2.71, 8 Pt 2.78-2.79, 2 Cu 2.79
Pt 0.5000 0.5000 0.1660  8 Pt 2.78, 4 Ti 2.79
Pt 0.5000 0.5000 0.5000  4 Cu 2.78, 8 Pt 2.79
Pt 0.5000 0.5000 0.8340  8 Pt 2.78, 4 Ti 2.79



no.,V (Å³/f.u.),energy relative to the elements (eV per atom)
1,71,-0.445
2,347,-0.461
3,183,-0.653